# PBE-GGA Tb8PrTm2, optimized geometry
# - Energy of formation: 3.32 kcal/mol of atoms
data_Tb8PrTm2
_space_group_name_H-M_alt 'C 1 2/m 1'
_space_group_IT_number 12
_cell_length_a 19.2293
_cell_length_b 6.9317
_cell_length_c 5.5353
_cell_angle_alpha 90.00
_cell_angle_beta 92.98
_cell_angle_gamma 90.00
loop_
_space_group_symop_operation_xyz
'x,y,z'
'-x,-y,-z'
'-x,y,-z'
'x,-y,z'
'x+1/2,y+1/2,z'
'-x+1/2,-y+1/2,-z'
'-x+1/2,y+1/2,-z'
'x+1/2,-y+1/2,z'
loop_
_atom_site_label
_atom_site_fract_x
_atom_site_fract_y
_atom_site_fract_z
Tb1 0.0469 0.0000 0.2378
Tb2 0.1348 0.2330 0.7317
Tb3 0.1894 0.5000 0.2326
Pr1 0.0000 0.5000 0.0000
Tm1 0.2153 0.0000 0.2514

# PBE-GGA TbPr4Tm6, optimized geometry
# - Energy of formation: 6.82 kcal/mol of atoms
data_TbPr4Tm6
_space_group_name_H-M_alt 'I -4 2 m'
_space_group_IT_number 121
_space_group_name_Hall 'I -4 2'
_cell_length_a 6.6694
_cell_length_b 6.6694
_cell_length_c 16.9234
_cell_angle_alpha 90.00
_cell_angle_beta 90.00
_cell_angle_gamma 90.00
loop_
_atom_site_label
_atom_site_fract_x
_atom_site_fract_y
_atom_site_fract_z
Tb1 0.0000 0.0000 0.0000
Pr1 0.1902 0.1902 0.8243
Tm1 0.0000 0.5000 0.0000
Tm2 0.1776 0.1776 0.6226

# PBE-GGA Tb12Pr7Tm, optimized geometry
# - Energy of formation: 14.40 kcal/mol of atoms
data_Tb12Pr7Tm
_space_group_name_H-M_alt 'I m -3 m'
_space_group_IT_number 229
_space_group_name_Hall '-I 4 2 3'
_cell_length_a 11.4042
_cell_length_b 11.4042
_cell_length_c 11.4042
_cell_angle_alpha 90.00
_cell_angle_beta 90.00
_cell_angle_gamma 90.00
loop_
_atom_site_label
_atom_site_fract_x
_atom_site_fract_y
_atom_site_fract_z
Tb1 0.0000 0.2448 0.2448
Pr1 0.0000 0.0000 0.5000
Pr2 0.2500 0.2500 0.2500
Tm1 0.0000 0.0000 0.0000

# PBE-GGA Tb7Pr2Tm3, optimized geometry
# - Energy of formation: 2.03 kcal/mol of atoms
data_Tb7Pr2Tm3
_space_group_name_H-M_alt 'P 1 2/m 1'
_space_group_IT_number 10
_cell_length_a 5.7814
_cell_length_b 3.5938
_cell_length_c 18.8000
_cell_angle_alpha 90.00
_cell_angle_beta 93.86
_cell_angle_gamma 90.00
loop_
_space_group_symop_operation_xyz
'x,y,z'
'-x,-y,-z'
'-x,y,-z'
'x,-y,z'
loop_
_atom_site_label
_atom_site_fract_x
_atom_site_fract_y
_atom_site_fract_z
Tb1 0.0000 0.0000 0.0000
Tb2 0.1797 0.5000 0.1753
Tb3 0.2585 0.5000 0.5374
Tb4 0.3231 0.0000 0.8589
Pr1 0.2944 0.5000 0.7051
Tm1 0.2212 0.0000 0.3711
Tm2 0.5000 0.5000 0.0000

no.,total magnetic moment (μB/atom),calculated volume (Å³/cell)
1,0.0000,737
2,0.0000,753
3,0.0000,1483
4,0.0000,390